## i
GGA-PBE TaHg2Br, optimized geometry; crystal system = monoclinic; symmetry = C2
1.0
5.6909 0.0000 0.0011
0.0000 6.5160 0.0000
-0.3508 0.0000 10.6908
Br Ta Hg
4 4 8
Cartesian
2.8455 0.0052 0.0005 Br
0.0000 4.2987 0.0000 Br
-0.1754 1.0407 5.3454 Br
2.6701 3.2632 5.3459 Br
4.3182 5.2684 5.8318 Ta
4.4936 2.0104 0.4865 Ta
0.8465 2.0104 10.2054 Ta
1.0219 5.2684 4.8600 Ta
0.3497 0.2484 2.1945 Hg
3.1788 6.4791 3.3156 Hg
4.9904 0.2484 8.4973 Hg
3.0034 3.2211 8.6610 Hg
5.1658 3.5064 3.1519 Hg
2.3367 3.2211 2.0309 Hg
0.1743 3.5064 7.5399 Hg
2.1613 6.4791 7.3762 Hg

## ii
GGA-PBE TaHg2Br, optimized geometry; crystal system = tetragonal; symmetry = I-4m2
1.0
5.5503 0.0864 0.0000
2.0588 5.1551 0.0000
-3.8045 -2.6207 3.0774
Ta Br Hg
1 1 2
Cartesian
3.8045 2.6207 0.0000 Ta
2.7751 0.0432 1.5387 Br
1.0294 2.5775 1.5387 Hg
0.0000 0.0000 0.0000 Hg

## iii
GGA-PBE TaHg2Br, optimized geometry; crystal system = orthorhombic; symmetry = Immm
1.0
7.4335 -0.0256 -0.0182
6.8216 2.9535 -0.0182
1.4078 0.2892 4.3243
Br Hg Ta
1 2 1
Cartesian
11.7473 2.4128 3.2159 Br
8.6220 1.7709 1.8792 Hg
13.4647 2.7655 0.2283 Hg
3.9158 0.8043 1.0720 Ta

Which of them is the least stable? Correct choice: ii.

## i
GGA-PBE Ta2HgBr, optimized geometry; crystal system = trigonal; symmetry = R-3m
1.0
9.5160 0.0008 0.0005
9.0198 3.0327 0.0005
9.0198 1.4762 2.6492
Ta Br Hg
2 1 1
Cartesian
27.4460 4.4918 2.6397 Ta
13.8874 2.2728 1.3356 Ta
6.8889 1.1274 0.6626 Br
20.6667 3.3823 1.9877 Hg

## ii
GGA-PBE Ta2HgBr, optimized geometry; crystal system = monoclinic; symmetry = Cm
1.0
-3.0764 4.8534 2.3490
-4.1953 2.3945 3.8991
2.9006 1.1991 3.9957
Ta Br Hg
2 1 1
Cartesian
1.9268 1.5693 3.8799 Ta
-3.2091 6.4272 7.8786 Ta
-1.6545 3.9521 5.0746 Br
-0.7192 1.9211 2.5281 Hg

## iii
GGA-PBE Ta2HgBr, optimized geometry; crystal system = orthorhombic; symmetry = Cmmm
1.0
-1.1172 -4.5767 -2.5196
0.5433 -0.6028 5.2806
-2.9335 0.5174 0.3609
Ta Br Hg
2 1 1
Cartesian
0.0000 0.0000 0.0000 Ta
-0.2870 -2.5897 1.3805 Ta
-2.0254 -2.0297 -1.0793 Br
-1.1951 -0.0427 2.8207 Hg

Which of them is the least stable? Correct choice: iii.

## i
GGA-PBE Ta2HgBr, optimized geometry; crystal system = tetragonal; symmetry = I-42d
1.0
4.1442 0.0000 0.0000
0.0000 4.1442 0.0000
2.0721 2.0721 10.0620
Hg Ta Br
2 4 2
Cartesian
0.0000 0.0000 0.0000 Hg
4.1442 2.0721 5.0310 Hg
3.1082 3.0539 7.5465 Ta
5.1803 5.2346 7.5465 Ta
3.1624 1.0361 2.5155 Ta
0.9818 3.1082 2.5155 Ta
2.0721 4.1442 5.0310 Br
2.0721 2.0721 0.0000 Br

## ii
GGA-PBE Ta2HgBr, optimized geometry; crystal system = cubic; symmetry = Fm-3m
1.0
-1.5387 -3.8017 -2.3570
-3.4475 0.4418 -3.2087
0.9768 -0.4844 -4.6029
Br Ta Hg
1 2 1
Cartesian
0.0000 0.0000 0.0000 Br
-3.0070 -2.8832 -7.6265 Ta
-1.0023 -0.9611 -2.5422 Ta
-2.0047 -1.9221 -5.0843 Hg

## iii
GGA-PBE Ta2HgBr, optimized geometry; crystal system = tetragonal; symmetry = P4mm
1.0
-0.4589 2.8323 -0.9138
-2.9286 -0.5944 -0.3715
-1.7059 2.6790 9.1603
Hg Ta Br
1 2 1
Cartesian
-3.0526 3.2529 6.6539 Hg
-2.1141 1.7791 1.6145 Ta
-0.0410 0.0643 0.2199 Ta
-0.7387 1.1601 3.9668 Br

Which of them is the least stable? Correct choice: i.

## i
GGA-PBE Ta2HgBr, optimized geometry; crystal system = cubic; symmetry = F-43m
1.0
4.8731 0.0000 0.0000
2.4366 4.2203 0.0000
2.4366 1.4068 3.9789
Ta Hg Br
2 1 1
Cartesian
0.0000 0.0000 0.0000 Ta
7.3097 4.2203 2.9842 Ta
2.4366 1.4068 0.9947 Hg
4.8731 2.8135 1.9894 Br

## ii
GGA-PBE Ta2HgBr, optimized geometry; crystal system = tetragonal; symmetry = P4/mmm
1.0
-0.1097 4.0297 -2.5874
0.3489 -2.2167 -3.4672
-4.1141 -0.2678 -0.2427
Ta Hg Br
2 1 1
Cartesian
0.0000 0.0000 0.0000 Ta
-1.8826 -1.2423 -1.8549 Ta
-2.1119 1.8809 -1.4151 Hg
0.1196 0.9065 -3.0273 Br

Which of them is the least stable? Correct choice: i.

## i
GGA-PBE TaHgBr, optimized geometry; crystal system = trigonal; symmetry = P3m1
1.0
3.2157 0.0000 0.0000
-1.6079 2.7849 0.0000
0.0000 0.0000 7.8485
Hg Br Ta
1 1 1
Cartesian
1.6079 0.9283 3.0421 Hg
0.0000 0.0000 7.2556 Br
0.0000 1.8566 5.3994 Ta

## ii
GGA-PBE TaHgBr, optimized geometry; crystal system = tetragonal; symmetry = I4mm
1.0
7.2924 0.0072 0.0000
5.9180 4.2611 0.0000
-6.6052 -2.1342 2.2352
Br Ta Hg
1 1 1
Cartesian
0.5320 0.1719 0.0000 Br
8.7298 2.8206 0.0000 Ta
3.9486 1.2758 0.0000 Hg

Which of them is the least stable? Correct choice: ii.

## i
GGA-PBE TaHgBr, optimized geometry; crystal system = orthorhombic; symmetry = Fmm2
1.0
-1.5548 3.3314 7.7861
-3.7909 0.9800 7.2746
2.7038 -0.4603 1.8079
Ta Br Hg
1 1 1
Cartesian
-2.6030 2.6856 10.5452 Ta
2.4556 -0.3132 2.2165 Br
0.2093 1.0184 5.9149 Hg

## ii
GGA-PBE TaHgBr, optimized geometry; crystal system = cubic; symmetry = F-43m
1.0
4.6419 0.0000 0.0000
2.3209 4.0200 0.0000
2.3209 1.3400 3.7901
Ta Br Hg
1 1 1
Cartesian
6.9628 4.0200 2.8426 Ta
0.0000 0.0000 0.0000 Br
4.6419 2.6800 1.8950 Hg

Which of them is the least stable? Correct choice: ii.

## i
GGA-PBE TcHgBr2, optimized geometry; crystal system = monoclinic; symmetry = Cm
1.0
-5.0414 1.2366 -2.1391
-5.5521 -0.4664 0.6909
-2.9224 6.0486 3.1124
Tc Br Hg
1 2 1
Cartesian
-4.2451 2.4974 0.7367 Tc
-9.8035 4.5511 0.9695 Br
-9.7719 1.2499 -1.0113 Br
-7.0471 2.7000 0.3530 Hg

## ii
GGA-PBE TcHgBr2, optimized geometry; crystal system = monoclinic; symmetry = C2/m
1.0
-0.6233 1.2234 -5.3347
0.5332 -5.4616 -0.4803
-3.4669 -1.1119 -0.7053
Br Tc Hg
2 1 1
Cartesian
-0.0451 -2.1191 -2.9075 Br
0.0000 0.0000 0.0000 Br
-1.4669 -3.2867 -0.5928 Tc
-2.0451 0.0557 -3.0200 Hg

Which of them is the least stable? Correct choice: ii.

## i
GGA-PBE TcHgBr2, optimized geometry; crystal system = orthorhombic; symmetry = Immm
1.0
-3.5639 -3.2242 -4.9289
0.5484 -6.8468 -0.4594
-1.9005 5.6978 3.3635
Br Hg Tc
2 1 1
Cartesian
-0.2706 -0.9038 -0.4836 Br
-1.2371 -4.1317 -2.2106 Br
-3.4860 -1.2809 -2.1298 Hg
-1.4299 -3.0922 0.1049 Tc

## ii
GGA-PBE TcHgBr2, optimized geometry; crystal system = monoclinic; symmetry = Pm
1.0
-0.1521 -0.0599 -3.2649
-4.3815 -1.6755 0.2348
-4.8037 6.0947 0.1120
Br Hg Tc
2 1 1
Cartesian
-2.2833 1.7021 -1.5614 Br
-8.1566 4.1530 0.3038 Br
-5.1358 2.8213 0.1875 Hg
-7.5394 2.3117 -1.3278 Tc

## iii
GGA-PBE TcHgBr2, optimized geometry; crystal system = orthorhombic; symmetry = Imm2
1.0
6.1798 -0.1088 0.0619
1.3290 6.0362 -0.0619
-2.3169 -4.7848 3.1534
Br Tc Hg
2 1 1
Cartesian
0.4566 0.3604 0.0000 Br
3.5373 -1.1792 1.6077 Br
1.3568 2.0867 1.5458 Tc
3.5958 2.8385 0.0000 Hg

## iv
GGA-PBE TcHgBr2, optimized geometry; crystal system = orthorhombic; symmetry = Pmmm
1.0
3.6577 0.0000 0.0000
0.0000 6.2225 0.0000
0.0000 0.0000 4.4864
Hg Br Tc
1 2 1
Cartesian
1.8288 0.0000 2.2432 Hg
0.0000 0.0000 0.0000 Br
1.8288 3.1113 0.0000 Br
0.0000 3.1113 2.2432 Tc

Which of them is the least stable? Correct choice: iv.

## i
GGA-PBE TcHgBr2, optimized geometry; crystal system = tetragonal; symmetry = P4mm
1.0
3.4739 0.0000 0.0000
0.0000 3.4739 0.0000
0.0000 0.0000 8.6374
Tc Br Hg
1 2 1
Cartesian
1.7369 1.7369 6.2938 Tc
1.7369 1.7369 2.8402 Br
0.0000 0.0000 7.8979 Br
0.0000 0.0000 4.5617 Hg

## ii
GGA-PBE TcHgBr2, optimized geometry; crystal system = orthorhombic; symmetry = Cmmm
1.0
3.9791 0.0298 0.0000
-2.4826 3.1098 0.0000
0.0000 0.0000 11.0031
Br Hg Tc
2 1 1
Cartesian
0.0000 0.0000 10.1009 Br
0.0000 0.0000 6.4037 Br
0.7483 1.5698 2.7508 Hg
0.7483 1.5698 8.2523 Tc

Which of them is the least stable? Correct choice: i.

## i
GGA-PBE TcHgBr2, optimized geometry; crystal system = cubic; symmetry = Fm-3m
1.0
0.0000 3.7243 3.7243
3.7243 0.0000 3.7243
3.7243 3.7243 0.0000
Hg Br Tc
1 2 1
Cartesian
3.7243 3.7243 3.7243 Hg
5.5864 5.5864 5.5864 Br
1.8621 1.8621 1.8621 Br
0.0000 0.0000 0.0000 Tc

## ii
GGA-PBE TcHgBr2, optimized geometry; crystal system = orthorhombic; symmetry = Cmm2
1.0
-0.4813 1.1722 -3.5005
2.3181 -2.7779 0.8769
-7.0514 -6.2374 -1.1193
Tc Br Hg
1 2 1
Cartesian
-4.3239 -5.4400 -2.1439 Tc
-1.2295 -2.7028 -1.6528 Br
-6.5764 -5.8173 -1.0439 Br
-3.6620 -3.2393 -0.5813 Hg

## iii
GGA-PBE TcHgBr2, optimized geometry; crystal system = tetragonal; symmetry = P4/mmm
1.0
5.2895 0.0000 0.0000
0.0000 5.2895 0.0000
0.0000 0.0000 3.6276
Hg Br Tc
1 2 1
Cartesian
2.6448 0.0000 1.8138 Hg
2.6448 2.6448 0.0000 Br
0.0000 0.0000 0.0000 Br
0.0000 2.6448 1.8138 Tc

## iv
GGA-PBE TcHgBr2, optimized geometry; crystal system = cubic; symmetry = F-43m
1.0
-4.2930 2.3829 1.8579
-4.4511 -2.7148 0.6139
-1.7461 -1.1225 4.8219
Br Hg Tc
2 1 1
Cartesian
0.0000 0.0000 0.0000 Br
-2.6225 -0.3636 1.8234 Br
-5.2451 -0.7272 3.6469 Hg
-7.8676 -1.0908 5.4703 Tc

Which of them is the least stable? Correct choice: iv.

## i
GGA-PBE TcHgBr2, optimized geometry; crystal system = tetragonal; symmetry = I-42d
1.0
-0.6989 -5.6952 -5.3382
7.6701 -1.4963 0.5922
2.6744 -6.4902 0.8212
Tc Hg Br
2 2 4
Cartesian
3.4856 -3.5958 -2.3730 Tc
6.9151 -5.7911 -0.4798 Tc
0.0000 0.0000 0.0000 Hg
2.7306 -7.8906 -3.4450 Hg
5.6271 -7.7609 -1.0861 Br
1.2823 -4.6214 -2.3562 Br
7.0986 -10.9638 -3.6146 Br
5.2833 -4.0174 -0.7927 Br

## ii
GGA-PBE TcHgBr2, optimized geometry; crystal system = tetragonal; symmetry = I-4m2
1.0
6.7158 0.0166 0.0000
4.1176 5.3055 0.0000
-5.4167 -2.6610 2.9463
Br Hg Tc
2 1 1
Cartesian
0.0000 0.0000 0.0000 Br
2.0588 2.6527 1.4732 Br
5.4167 2.6610 0.0000 Hg
3.3579 0.0083 1.4732 Tc

Which of them is the least stable? Correct choice: ii.